Version i
Material: GaSe3Cl
Method: DFT, PBE-GGA
State: optimized geometry

The structure belongs to space group Pm-3m (No. 221); the cell edges are 5.0839, 5.0839 and 5.0839 Å and the angles 90.00°, 90.00° and 90.00°. Symmetry generates all atoms from Ga at (0.0000, 0.0000, 0.0000), Se at (0.0000, 0.5000, 0.5000) and Cl at (0.5000, 0.5000, 0.5000).

For the volume, the calculation gives 26.28 Å³ per atom. For the density of states at the Fermi level, the calculation gives 4.413 states/eV/f.u.


Version ii
Material: GaSe3Cl
Method: DFT, PBE-GGA
State: optimized geometry

The structure belongs to space group Pm-3m (No. 221); the cell edges are 4.9966, 4.9966 and 4.9966 Å and the angles 90.00°, 90.00° and 90.00°. Symmetry generates all atoms from Ga at (0.0000, 0.0000, 0.0000), Se at (0.0000, 0.0000, 0.5000) and Cl at (0.5000, 0.5000, 0.5000).

For the volume, the calculation gives 24.95 Å³ per atom. For the density of states at the Fermi level, the calculation gives 6.761 states/eV/f.u.


Most stable: version ii


Version i
Material: Tl2GaSeCl
Method: DFT, PBE-GGA
State: optimized geometry

The structure belongs to space group P4/mmm (No. 123); the cell edges are 5.5852, 5.5852 and 4.7588 Å and the angles 90.00°, 90.00° and 90.00°. Symmetry generates all atoms from Tl at (0.0000, 0.5000, 0.0000), Ga at (0.0000, 0.0000, 0.0000), Se at (0.5000, 0.5000, 0.5000) and Cl at (0.0000, 0.0000, 0.5000).

For the volume, the calculation gives 29.69 Å³ per atom. For the density of states at the Fermi level, the calculation gives 3.856 states/eV/f.u.


Version ii
Material: Tl2GaSeCl
Method: DFT, PBE-GGA
State: optimized geometry

The structure belongs to space group P4/mmm (No. 123); the cell edges are 6.3550, 6.3550 and 4.8933 Å and the angles 90.00°, 90.00° and 90.00°. Symmetry generates all atoms from Tl at (0.0000, 0.5000, 0.0000), Ga at (0.0000, 0.0000, 0.5000), Se at (0.0000, 0.0000, 0.0000) and Cl at (0.5000, 0.5000, 0.5000).

For the volume, the calculation gives 39.52 Å³ per atom. For the density of states at the Fermi level, the calculation gives 0.837 states/eV/f.u.


Most stable: version ii


Version i
Material: GaSi2Cl
Method: DFT, PBE-GGA
State: optimized geometry

The structure belongs to space group Fm-3m (No. 225); the cell edges are 6.5632, 6.5632 and 6.5632 Å and the angles 90.00°, 90.00° and 90.00°. Symmetry generates all atoms from Ga at (0.0000, 0.0000, 0.0000), Si at (0.2500, 0.2500, 0.2500) and Cl at (0.0000, 0.0000, 0.5000).

For the volume, the calculation gives 17.67 Å³ per atom. For the density of states at the Fermi level, the calculation gives 1.772 states/eV/f.u.


Version ii
Material: GaSi2Cl
Method: DFT, PBE-GGA
State: optimized geometry

The structure belongs to space group I-42d (No. 122); the cell edges are 5.6358, 5.6358 and 12.7086 Å and the angles 90.00°, 90.00° and 90.00°. Symmetry generates all atoms from Ga at (0.0000, 0.0000, 0.0000), Si at (0.2150, 0.2500, 0.1250) and Cl at (0.0000, 0.0000, 0.5000).

For the volume, the calculation gives 25.23 Å³ per atom. For the density of states at the Fermi level, the calculation gives 1.267 states/eV/f.u.


Most stable: version i


Version i
Material: TlGaSiCl2
Method: DFT, PBE-GGA
State: optimized geometry

The structure belongs to space group P4/mmm (No. 123); the cell edges are 5.6473, 5.6473 and 5.2498 Å and the angles 90.00°, 90.00° and 90.00°. Symmetry generates all atoms from Tl at (0.0000, 0.0000, 0.0000), Ga at (0.5000, 0.5000, 0.5000), Si at (0.0000, 0.0000, 0.5000) and Cl at (0.0000, 0.5000, 0.0000).

For the volume, the calculation gives 33.49 Å³ per atom. For the density of states at the Fermi level, the calculation gives 2.659 states/eV/f.u.


Version ii
Material: TlGaSiCl2
Method: DFT, PBE-GGA
State: optimized geometry

The structure belongs to space group P4/mmm (No. 123); the cell edges are 5.0472, 5.0472 and 5.1727 Å and the angles 90.00°, 90.00° and 90.00°. Symmetry generates all atoms from Tl at (0.0000, 0.0000, 0.0000), Ga at (0.5000, 0.5000, 0.0000), Si at (0.5000, 0.5000, 0.5000) and Cl at (0.0000, 0.5000, 0.5000).

For the volume, the calculation gives 26.35 Å³ per atom. For the density of states at the Fermi level, the calculation gives 3.211 states/eV/f.u.


Most stable: version ii


Version i
Material: Sm2GaCl
Method: DFT, PBE-GGA
State: optimized geometry

The structure belongs to space group P4/mmm (No. 123); the cell edges are 3.4376, 3.4376 and 8.0961 Å and the angles 90.00°, 90.00° and 90.00°. Symmetry generates all atoms from Sm at (0.0000, 0.0000, 0.2341), Ga at (0.5000, 0.5000, 0.0000) and Cl at (0.5000, 0.5000, 0.5000).

For the volume, the calculation gives 23.92 Å³ per atom. For the density of states at the Fermi level, the calculation gives 2.332 states/eV/f.u.


Version ii
Material: Sm2GaCl
Method: DFT, PBE-GGA
State: optimized geometry

The structure belongs to space group R3m (No. 160, hexagonal axes); the cell edges are 3.7235, 3.7235 and 25.4403 Å and the angles 90.00°, 90.00° and 120.00°. Symmetry generates all atoms from Sm at (0.0000, 0.0000, 0.0000), Sm at (0.0000, 0.0000, 0.1708), Ga at (0.0000, 0.0000, 0.5855) and Cl at (0.0000, 0.0000, 0.4174).

For the volume, the calculation gives 25.46 Å³ per atom. For the density of states at the Fermi level, the calculation gives 1.590 states/eV/f.u.


Version iii
Material: Sm2GaCl
Method: DFT, PBE-GGA
State: optimized geometry

The structure belongs to space group R-3m (No. 166, hexagonal axes); the cell edges are 4.2067, 4.2067 and 20.3776 Å and the angles 90.00°, 90.00° and 120.00°. Symmetry generates all atoms from Sm at (0.0000, 0.0000, 0.2469), Ga at (0.0000, 0.0000, 0.5000) and Cl at (0.0000, 0.0000, 0.0000).

For the volume, the calculation gives 26.02 Å³ per atom. For the density of states at the Fermi level, the calculation gives 2.064 states/eV/f.u.


Most stable: version iii


Version i
Material: Ga2Sn2Cl
Method: DFT, PBE-GGA
State: optimized geometry

The structure belongs to space group P4/mbm (No. 127); the cell edges are 8.1553, 8.1553 and 3.7637 Å and the angles 90.00°, 90.00° and 90.00°. Symmetry generates all atoms from Ga at (0.1152, 0.3848, 0.0000), Sn at (0.1877, 0.6877, 0.5000) and Cl at (0.0000, 0.0000, 0.5000).

For the volume, the calculation gives 25.03 Å³ per atom. For the density of states at the Fermi level, the calculation gives 2.140 states/eV/f.u.


Version ii
Material: Ga2Sn2Cl
Method: DFT, PBE-GGA
State: optimized geometry

The structure belongs to space group I4/mmm (No. 139); the cell edges are 3.9875, 3.9875 and 15.3148 Å and the angles 90.00°, 90.00° and 90.00°. Symmetry generates all atoms from Ga at (0.0000, 0.5000, 0.2500), Sn at (0.0000, 0.0000, 0.1049) and Cl at (0.0000, 0.0000, 0.5000).

For the volume, the calculation gives 24.35 Å³ per atom. For the density of states at the Fermi level, the calculation gives 2.605 states/eV/f.u.


Most stable: version ii


Version i
Material: GaSnCl2
Method: DFT, PBE-GGA
State: optimized geometry

The structure belongs to space group I-42d (No. 122); the cell edges are 8.0958, 8.0958 and 6.5620 Å and the angles 90.00°, 90.00° and 90.00°. Symmetry generates all atoms from Ga at (0.0000, 0.0000, 0.0000), Sn at (0.0000, 0.0000, 0.5000) and Cl at (0.2353, 0.7500, 0.6250).

For the volume, the calculation gives 26.88 Å³ per atom. For the density of states at the Fermi level, the calculation gives 1.141 states/eV/f.u.


Version ii
Material: GaSnCl2
Method: DFT, PBE-GGA
State: optimized geometry

The structure belongs to space group Fm-3m (No. 225); the cell edges are 7.3024, 7.3024 and 7.3024 Å and the angles 90.00°, 90.00° and 90.00°. Symmetry generates all atoms from Ga at (0.0000, 0.0000, 0.0000), Sn at (0.0000, 0.0000, 0.5000) and Cl at (0.2500, 0.2500, 0.2500).

For the volume, the calculation gives 24.34 Å³ per atom. For the density of states at the Fermi level, the calculation gives 2.208 states/eV/f.u.


Most stable: version i


Version i
Material: SrGaCl2
Method: DFT, PBE-GGA
State: optimized geometry

The structure belongs to space group R-3m (No. 166, hexagonal axes); the cell edges are 4.5130, 4.5130 and 26.3708 Å and the angles 90.00°, 90.00° and 120.00°. Symmetry generates all atoms from Sr at (0.0000, 0.0000, 0.0000), Ga at (0.0000, 0.0000, 0.5000) and Cl at (0.0000, 0.0000, 0.1050).

For the volume, the calculation gives 38.76 Å³ per atom. For the density of states at the Fermi level, the calculation gives 1.040 states/eV/f.u.


Version ii
Material: SrGaCl2
Method: DFT, PBE-GGA
State: optimized geometry

The structure belongs to space group Fm-3m (No. 225); the cell edges are 7.4443, 7.4443 and 7.4443 Å and the angles 90.00°, 90.00° and 90.00°. Symmetry generates all atoms from Sr at (0.0000, 0.0000, 0.0000), Ga at (0.0000, 0.0000, 0.5000) and Cl at (0.2500, 0.2500, 0.2500).

For the volume, the calculation gives 25.78 Å³ per atom. For the density of states at the Fermi level, the calculation gives 2.649 states/eV/f.u.


Version iii
Material: SrGaCl2
Method: DFT, PBE-GGA
State: optimized geometry

The structure belongs to space group I-42d (No. 122); the cell edges are 7.3296, 7.3296 and 13.1005 Å and the angles 90.00°, 90.00° and 90.00°. Symmetry generates all atoms from Sr at (0.0000, 0.0000, 0.0000), Ga at (0.0000, 0.0000, 0.5000) and Cl at (0.1801, 0.2500, 0.1250).

For the volume, the calculation gives 43.99 Å³ per atom. For the density of states at the Fermi level, the calculation gives 1.996 states/eV/f.u.


Most stable: version ii


Version i
Material: SrGa2Cl
Method: DFT, PBE-GGA
State: optimized geometry

The structure belongs to space group Fm-3m (No. 225); the cell edges are 7.6110, 7.6110 and 7.6110 Å and the angles 90.00°, 90.00° and 90.00°. Symmetry generates all atoms from Sr at (0.0000, 0.0000, 0.0000), Ga at (0.2500, 0.2500, 0.2500) and Cl at (0.0000, 0.0000, 0.5000).

For the volume, the calculation gives 27.56 Å³ per atom. For the density of states at the Fermi level, the calculation gives 4.505 states/eV/f.u.


Version ii
Material: SrGa2Cl
Method: DFT, PBE-GGA
State: optimized geometry

The structure belongs to space group I-42d (No. 122); the cell edges are 4.0557, 4.0557 and 26.7972 Å and the angles 90.00°, 90.00° and 90.00°. Symmetry generates all atoms from Sr at (0.0000, 0.0000, 0.0000), Ga at (0.2311, 0.2500, 0.1250) and Cl at (0.0000, 0.0000, 0.5000).

For the volume, the calculation gives 27.55 Å³ per atom. For the density of states at the Fermi level, the calculation gives 1.840 states/eV/f.u.


Most stable: version ii


Version i
Material: SrGaCl3
Method: DFT, PBE-GGA
State: optimized geometry

The structure belongs to space group Pm-3m (No. 221); the cell edges are 5.3128, 5.3128 and 5.3128 Å and the angles 90.00°, 90.00° and 90.00°. Symmetry generates all atoms from Sr at (0.0000, 0.0000, 0.0000), Ga at (0.5000, 0.5000, 0.5000) and Cl at (0.0000, 0.5000, 0.5000).

For the volume, the calculation gives 29.99 Å³ per atom. For the density of states at the Fermi level, the calculation gives 0.761 states/eV/f.u.


Version ii
Material: SrGaCl3
Method: DFT, PBE-GGA
State: optimized geometry

The structure belongs to space group Pm-3m (No. 221); the cell edges are 5.6507, 5.6507 and 5.6507 Å and the angles 90.00°, 90.00° and 90.00°. Symmetry generates all atoms from Sr at (0.0000, 0.0000, 0.0000), Ga at (0.5000, 0.5000, 0.5000) and Cl at (0.0000, 0.0000, 0.5000).

For the volume, the calculation gives 36.09 Å³ per atom. For the density of states at the Fermi level, the calculation gives 0.000 states/eV/f.u.


Most stable: version ii


Version i
Material: SrGa2Cl6
Method: DFT, PBE-GGA
State: optimized geometry

The structure belongs to space group C2/c (No. 15); the cell edges are 13.2418, 12.4007 and 8.6793 Å and the angles 90.00°, 114.71° and 90.00°. Symmetry generates all atoms from Sr at (0.0000, 0.0808, 0.2500), Ga at (0.1790, 0.4178, 0.2378), Cl at (0.1148, 0.0839, 0.6296), Cl at (0.1468, 0.4975, 0.4692) and Cl at (0.1552, 0.2288, 0.2122).

For the volume, the calculation gives 35.96 Å³ per atom. For the density of states at the Fermi level, the calculation gives 3.213 states/eV/f.u.


Version ii
Material: SrGa2Cl6
Method: DFT, PBE-GGA
State: optimized geometry

The structure belongs to space group C2/c (No. 15); the cell edges are 14.2994, 12.4872 and 6.8600 Å and the angles 90.00°, 99.21° and 90.00°. Symmetry generates all atoms from Sr at (0.0000, 0.0825, 0.2500), Ga at (0.0862, 0.4266, 0.2608), Cl at (0.1139, 0.0806, 0.6258), Cl at (0.1369, 0.2734, 0.1641) and Cl at (0.1628, 0.4463, 0.5910).

For the volume, the calculation gives 33.59 Å³ per atom. For the density of states at the Fermi level, the calculation gives 0.000 states/eV/f.u.


Most stable: version ii


Version i
Material: TaGa3Cl
Method: DFT, PBE-GGA
State: optimized geometry

The structure belongs to space group Pm-3m (No. 221); the cell edges are 4.7351, 4.7351 and 4.7351 Å and the angles 90.00°, 90.00° and 90.00°. Symmetry generates all atoms from Ta at (0.0000, 0.0000, 0.0000), Ga at (0.0000, 0.5000, 0.5000) and Cl at (0.5000, 0.5000, 0.5000).

For the volume, the calculation gives 21.23 Å³ per atom. For the density of states at the Fermi level, the calculation gives 3.382 states/eV/f.u.


Version ii
Material: TaGa3Cl
Method: DFT, PBE-GGA
State: optimized geometry

The structure belongs to space group Pm-3m (No. 221); the cell edges are 5.2084, 5.2084 and 5.2084 Å and the angles 90.00°, 90.00° and 90.00°. Symmetry generates all atoms from Ta at (0.0000, 0.0000, 0.0000), Ga at (0.0000, 0.0000, 0.5000) and Cl at (0.5000, 0.5000, 0.5000).

For the volume, the calculation gives 28.26 Å³ per atom. For the density of states at the Fermi level, the calculation gives 3.949 states/eV/f.u.


Most stable: version ii